Entry 1:
The following is a PBE with a Hubbard U calculation of NaCaDyFeO6 after structural relaxation, from the Alexandria database.

abc: 5.6966 5.6966 5.6966
angles: 60.00 60.00 60.00
Element x y z (fractional)
1 Na 0.0000 0.0000 0.0000
2 Ca 0.5000 0.5000 0.5000
3 Dy 0.7500 0.7500 0.7500
4 Fe 0.2500 0.2500 0.2500
5 O 0.0206 0.0206 0.4794
6 O 0.0206 0.4794 0.0206
7 O 0.0206 0.4794 0.4794
8 O 0.4794 0.0206 0.0206
9 O 0.4794 0.0206 0.4794
10 O 0.4794 0.4794 0.0206

Entry 2:
The following is a PBE with a Hubbard U calculation of CaDyFeO4 after structural relaxation, from the Alexandria database.

abc: 6.5208 6.5208 6.5208
angles: 121.24 118.75 90.02
Element x y z (fractional)
1 Ca 0.5000 0.0000 0.0000
2 Ca 0.5000 0.5000 0.5000
3 Dy 0.0000 0.0000 0.0000
4 Dy 0.5000 0.0000 0.5000
5 Fe 0.1182 0.3682 0.7500
6 Fe 0.8818 0.6318 0.2500
7 O 0.2378 0.2475 0.9904
8 O 0.2429 0.7525 0.4904
9 O 0.2453 0.2422 0.4969
10 O 0.2453 0.7484 0.0031
11 O 0.7547 0.2516 0.9969
12 O 0.7547 0.7578 0.5031
13 O 0.7571 0.2475 0.5096
14 O 0.7622 0.7525 0.0096

Entry 3:
The following is a PBE with a Hubbard U calculation of SrCaDyFeO6 after structural relaxation, from the Alexandria database.

abc: 5.7196 5.7196 5.7196
angles: 60.00 60.00 60.00
Element x y z (fractional)
1 Sr 0.0000 0.0000 0.0000
2 Ca 0.5000 0.5000 0.5000
3 Dy 0.7500 0.7500 0.7500
4 Fe 0.2500 0.2500 0.2500
5 O 0.0187 0.0187 0.4813
6 O 0.0187 0.4813 0.0187
7 O 0.0187 0.4813 0.4813
8 O 0.4813 0.0187 0.0187
9 O 0.4813 0.0187 0.4813
10 O 0.4813 0.4813 0.0187

Number 1: raw total energy -6.178 eV per atom. Number 2: raw total energy -7.131 eV per atom. Number 3: raw total energy -6.650 eV per atom.